Version w
Material: SmZn9Cu2
Method: DFT, GGA-PBE
State: optimized geometry

Cell lengths 6.720, 8.166, 8.166 Å; angles 80.25, 65.70, 65.70 degrees
Fractional coordinates of all 24 atoms:
Cu1 0.875 0.250 0.750
Cu2 0.875 0.250 0.250
Cu3 0.875 0.750 0.250
Cu4 0.375 0.750 0.750
Sm1 0.500 0.000 0.000
Sm2 0.250 0.500 0.500
Zn1 0.147 0.174 0.417
Zn2 0.071 0.917 0.326
Zn3 0.011 0.917 0.674
Zn4 0.750 0.500 0.500
Zn5 0.679 0.583 0.174
Zn6 0.314 0.083 0.674
Zn7 0.147 0.417 0.174
Zn8 0.436 0.417 0.826
Zn9 0.000 0.000 0.000
Zn10 0.436 0.826 0.417
Zn11 0.739 0.583 0.826
Zn12 0.314 0.674 0.083
Zn13 0.011 0.674 0.917
Zn14 0.679 0.174 0.583
Zn15 0.603 0.326 0.083
Zn16 0.739 0.826 0.583
Zn17 0.603 0.083 0.326
Zn18 0.071 0.326 0.917

Computed properties:
volume	186.1	Å³/f.u.
space group	I4_1/amd (141)

Version x
Material: SmZn9Cu2
Method: DFT, GGA-PBE
State: optimized geometry

Cell lengths 3.043, 8.526, 8.526 Å; angles 120.00, 90.00, 90.00 degrees
Fractional coordinates of all 12 atoms:
Zn1 0.000 0.500 0.500
Zn2 0.500 0.811 0.623
Zn3 0.500 0.189 0.811
Zn4 0.500 0.377 0.189
Zn5 0.000 0.500 0.000
Zn6 0.500 0.189 0.377
Zn7 0.500 0.811 0.189
Zn8 0.500 0.623 0.811
Zn9 0.000 0.000 0.500
Sm1 0.000 0.000 0.000
Cu1 0.000 0.333 0.667
Cu2 0.000 0.667 0.333

Computed properties:
volume	191.6	Å³/f.u.
space group	P6/mmm (191)

So which one wins? Going from most stable to least: version w, version x.

Version w
Material: Sm3Zn4Cu2
Method: DFT, GGA-PBE
State: optimized geometry

Cell lengths 4.447, 5.741, 8.413 Å; angles 71.39, 74.68, 67.21 degrees
Fractional coordinates of all 9 atoms:
Cu1 0.400 0.931 0.269
Cu2 0.600 0.069 0.731
Zn1 0.039 0.295 0.626
Zn2 0.724 0.612 0.939
Zn3 0.961 0.705 0.374
Zn4 0.276 0.388 0.061
Sm1 0.000 0.000 0.000
Sm2 0.675 0.307 0.344
Sm3 0.325 0.693 0.656

Computed properties:
volume	185.2	Å³/f.u.
space group	C2/m (12)

Version x
Material: Sm3Zn4Cu2
Method: DFT, GGA-PBE
State: optimized geometry

Cell lengths 4.521, 5.399, 8.669 Å; angles 102.86, 90.00, 114.75 degrees
Fractional coordinates of all 9 atoms:
Sm1 0.374 0.747 0.304
Sm2 0.000 0.000 0.000
Sm3 0.626 0.253 0.696
Cu1 0.326 0.653 0.662
Cu2 0.674 0.347 0.338
Zn1 0.100 0.201 0.422
Zn2 0.900 0.799 0.578
Zn3 0.715 0.431 0.069
Zn4 0.285 0.569 0.931

Computed properties:
volume	186.3	Å³/f.u.
space group	C2/m (12)

So which one wins? Going from most stable to least: version w, version x.